(1)
The following is a DFT calculation (PBE-GGA) of crystalline AsPd3F at its relaxed geometry.

space-group type	Pm-3m
DFT total energy	-21.03	eV/f.u.
distance to the lowest polymorph of the same formula	12.0	kJ/mol of atoms
formation energy from raw total energies	0.215	eV/atom

a = 4.368 Å, b = 4.368 Å, c = 4.368 Å
α = 90.00°, β = 90.00°, γ = 90.00°
Fractional positions:
As: 0.500 0.500 0.500
Pd: 0.500 0.000 0.000
Pd: 0.000 0.500 0.000
Pd: 0.000 0.000 0.500
F: 0.000 0.000 0.000

***

(2)
The following is a DFT calculation (PBE-GGA) of crystalline AsPd2F at its relaxed geometry.

space-group type	Fm-3m
DFT total energy	-19.27	eV/f.u.
distance to the lowest polymorph of the same formula	0.0	kJ/mol of atoms
formation energy from raw total energies	-0.592	eV/atom

a = 4.303 Å, b = 4.303 Å, c = 4.303 Å
α = 60.00°, β = 60.00°, γ = 60.00°
Fractional positions:
F: 0.000 0.000 0.000
Pd: 0.750 0.750 0.750
Pd: 0.250 0.250 0.250
As: 0.500 0.500 0.500

***

(3)
The following is a DFT calculation (PBE-GGA) of crystalline AsPd2F at its relaxed geometry.

space-group type	I-42d
DFT total energy	-18.85	eV/f.u.
distance to the lowest polymorph of the same formula	10.2	kJ/mol of atoms
formation energy from raw total energies	-0.486	eV/atom

a = 6.423 Å, b = 6.423 Å, c = 5.477 Å
α = 54.10°, β = 54.10°, γ = 90.00°
Fractional positions:
Pd: 0.126 0.625 0.250
Pd: 0.624 0.125 0.250
Pd: 0.375 0.376 0.750
Pd: 0.875 0.874 0.750
As: 0.750 0.250 0.500
As: 0.000 0.000 0.000
F: 0.500 0.500 0.000
F: 0.250 0.750 0.500

***

(4)
The following is a DFT calculation (PBE-GGA) of crystalline As2PdF at its relaxed geometry.

space-group type	I-42d
DFT total energy	-17.60	eV/f.u.
formation energy from raw total energies	-0.309	eV/atom

a = 4.260 Å, b = 4.260 Å, c = 8.318 Å
α = 75.16°, β = 75.16°, γ = 90.00°
Fractional positions:
F: 0.500 0.500 0.000
F: 0.250 0.750 0.500
As: 0.577 0.125 0.250
As: 0.375 0.423 0.750
As: 0.875 0.827 0.750
As: 0.173 0.625 0.250
Pd: 0.750 0.250 0.500
Pd: 0.000 0.000 0.000

***

Look up the DFT total energy of the third one. -18.85 eV/f.u.

***

Look up the formation energy from raw total energies of the fourth one. -0.309 eV/atom

***

Which formula does entry 4 have? As2PdF

***

The highest DFT total energy belongs to which entry? As2PdF